This record from Alexandria describes a geometry-optimized GdVCl2 structure. The functional is PBE-GGA.

Cell lengths 3.6569, 3.6569, 25.5787 Å; angles 90.00, 90.00, 120.00 degrees
Space group R-3m (No. 166, hexagonal axes)
Unique sites:
Gd1 0.0000 0.0000 0.0000
V1 0.0000 0.0000 0.5000
Cl1 0.0000 0.0000 0.1134

Output
E (eV/cell): -87.8
Crystal system: trigonal